The following is a PBE calculation of VCr2AsP after structural relaxation, from Alexandria via LeMat-Bulk.

Cell lengths 4.530, 4.530, 4.560 Å; angles 90.00, 90.00, 90.00 degrees
Space group P4/mmm (No. 123)
Symmetry-distinct sites (fractional):
V (0.000, 0.000, 0.000) (multiplicity 1)
Cr (0.000, 0.500, 0.000) (multiplicity 2)
As (0.000, 0.000, 0.500) (multiplicity 1)
P (0.500, 0.500, 0.500) (multiplicity 1)

## Properties
Energy of formation, eV per atom: 1.0679
Total magnetic moment, μB per atom: 0.96

=====

The following is a PBE calculation of BeBiI3 after structural relaxation, from Alexandria via LeMat-Bulk.

Cell lengths 6.169, 6.169, 6.169 Å; angles 90.00, 90.00, 90.00 degrees
Space group Pm-3m (No. 221)
Symmetry-distinct sites (fractional):
Be (0.000, 0.000, 0.000) (multiplicity 1)
Bi (0.500, 0.500, 0.500) (multiplicity 1)
I (0.000, 0.500, 0.500) (multiplicity 3)

## Properties
Distance to the lowest polymorph of the same formula, meV per atom: 312.8
Total magnetic moment, μB per atom: 0.01
Uncorrected formation energy, meV per atom: 473.6

=====

The following is a PBE calculation of Ca4Cl6O after structural relaxation, from Alexandria via LeMat-Bulk.

Cell lengths 9.1398, 9.1398, 6.9118 Å; angles 90.00, 90.00, 120.00 degrees
Space group P6_3mc (No. 186)
Symmetry-distinct sites (fractional):
Ca (0.1989, 0.3978, 0.0000) (multiplicity 6)
Ca (0.3333, 0.6667, 0.4273) (multiplicity 2)
Cl (0.0746, 0.5373, 0.7096) (multiplicity 6)
Cl (0.1380, 0.2760, 0.3822) (multiplicity 6)
O (0.3333, 0.6667, 0.1064) (multiplicity 2)

## Properties
Total magnetic moment, μB per atom: 0.01
Uncorrected formation energy, meV per atom: -2499.5

=====

The following is a PBE calculation of Nd2Sm7Er3 after structural relaxation, from Alexandria via LeMat-Bulk.

Cell lengths 5.776, 38.217, 3.644 Å; angles 90.00, 90.00, 90.00 degrees
Space group Cmmm (No. 65)
Symmetry-distinct sites (fractional):
Nd (0.000, 0.148, 0.000) (multiplicity 4)
Sm (0.000, 0.000, 0.000) (multiplicity 2)
Sm (0.000, 0.071, 0.500) (multiplicity 4)
Sm (0.000, 0.231, 0.000) (multiplicity 4)
Sm (0.000, 0.409, 0.000) (multiplicity 4)
Er (0.000, 0.314, 0.500) (multiplicity 4)
Er (0.000, 0.500, 0.500) (multiplicity 2)

## Properties
Energy of formation, eV per atom: 0.1141
Distance to the lowest polymorph of the same formula, meV per atom: 45.9
Total magnetic moment, μB per atom: 0.00

=====

The following is a PBE calculation of Pm3SmPd2 after structural relaxation, from Alexandria via LeMat-Bulk.

Cell lengths 12.948, 6.972, 7.930 Å; angles 90.00, 107.82, 90.00 degrees
Space group C2/c (No. 15)
Symmetry-distinct sites (fractional):
Pm (0.000, 0.248, 0.250) (multiplicity 4)
Pm (0.214, 0.000, 0.107) (multiplicity 8)
Sm (0.000, 0.252, 0.750) (multiplicity 4)
Pd (0.120, 0.500, 0.060) (multiplicity 8)

## Properties
Energy of formation, eV per atom: -0.5021
Distance to the lowest polymorph of the same formula, meV per atom: 0.0
Total magnetic moment, μB per atom: 0.08

=====

The following is a PBE calculation of TbSm2OsN4 after structural relaxation, from Alexandria via LeMat-Bulk.

Cell lengths 3.432, 11.823, 11.990 Å; angles 90.00, 90.00, 90.00 degrees
Space group Cmcm (No. 63)
Symmetry-distinct sites (fractional):
Tb (0.000, 0.129, 0.250) (multiplicity 4)
Sm (0.000, 0.368, 0.041) (multiplicity 8)
Os (0.000, 0.140, 0.750) (multiplicity 4)
N (0.000, 0.000, 0.000) (multiplicity 4)
N (0.000, 0.272, 0.636) (multiplicity 8)
N (0.000, 0.441, 0.250) (multiplicity 4)

## Properties
Total magnetic moment, μB per atom: 0.00
Uncorrected formation energy, meV per atom: -848.0

=====

The following is a PBE calculation of Ce2TeAu after structural relaxation, from Alexandria via LeMat-Bulk.

Cell lengths 7.577, 7.577, 7.577 Å; angles 90.00, 90.00, 90.00 degrees
Space group Fm-3m (No. 225)
Symmetry-distinct sites (fractional):
Ce (0.250, 0.250, 0.250) (multiplicity 8)
Te (0.000, 0.000, 0.000) (multiplicity 4)
Au (0.000, 0.000, 0.500) (multiplicity 4)

## Properties
Distance to the lowest polymorph of the same formula, meV per atom: 142.3
Total magnetic moment, μB per atom: 0.96
Uncorrected formation energy, meV per atom: -792.1

=====

The following is a PBE calculation of CsCd2InBr8 after structural relaxation, from Alexandria via LeMat-Bulk.

Cell lengths 6.775, 7.469, 9.598 Å; angles 74.49, 80.40, 85.91 degrees
Space group P-1 (No. 2)
Symmetry-distinct sites (fractional):
Cs (0.000, 0.000, 0.000) (multiplicity 1)
Cd (0.477, 0.493, 0.214) (multiplicity 2)
In (0.000, 0.500, 0.500) (multiplicity 1)
Br (0.131, 0.516, 0.760) (multiplicity 2)
Br (0.257, 0.760, 0.331) (multiplicity 2)
Br (0.280, 0.242, 0.456) (multiplicity 2)
Br (0.483, 0.239, 0.054) (multiplicity 2)

## Properties
Total magnetic moment, μB per atom: 0.00
Uncorrected formation energy, meV per atom: -1003.1

=====

The following is a PBE calculation of TiPbAu after structural relaxation, from Alexandria via LeMat-Bulk.

Cell lengths 3.291, 3.291, 11.750 Å; angles 90.00, 90.00, 90.00 degrees
Space group I4mm (No. 107)
Symmetry-distinct sites (fractional):
Ti (0.000, 0.000, 0.000) (multiplicity 2)
Pb (0.000, 0.000, 0.315) (multiplicity 2)
Au (0.000, 0.000, 0.626) (multiplicity 2)

## Properties
Energy of formation, eV per atom: -0.0637
Total magnetic moment, μB per atom: 0.26

=====

The following is a PBE calculation of Tm5Ag4Pt after structural relaxation, from Alexandria via LeMat-Bulk.

Cell lengths 3.535, 3.535, 18.045 Å; angles 90.00, 90.00, 90.00 degrees
Space group P4/mmm (No. 123)
Symmetry-distinct sites (fractional):
Tm (0.000, 0.000, 0.000) (multiplicity 1)
Tm (0.000, 0.000, 0.204) (multiplicity 2)
Tm (0.000, 0.000, 0.409) (multiplicity 2)
Ag (0.500, 0.500, 0.102) (multiplicity 2)
Ag (0.500, 0.500, 0.304) (multiplicity 2)
Pt (0.500, 0.500, 0.500) (multiplicity 1)

## Properties
Energy of formation, eV per atom: -0.5407
Total magnetic moment, μB per atom: 0.00

=====

The following is a PBE calculation of Ho6Te3AsRh2 after structural relaxation, from Alexandria via LeMat-Bulk.

Cell lengths 7.185, 12.460, 7.532 Å; angles 90.00, 108.78, 90.00 degrees
Space group C2/m (No. 12)
Symmetry-distinct sites (fractional):
Ho (0.228, 0.000, 0.210) (multiplicity 4)
Ho (0.241, 0.328, 0.211) (multiplicity 8)
Te (0.000, 0.000, 0.500) (multiplicity 2)
Te (0.000, 0.337, 0.500) (multiplicity 4)
As (0.000, 0.500, 0.000) (multiplicity 2)
Rh (0.000, 0.167, 0.000) (multiplicity 4)

## Properties
Total magnetic moment, μB per atom: 0.00
Uncorrected formation energy, meV per atom: -1154.9

=====

The following is a PBE calculation of Dy5SnRh2 after structural relaxation, from Alexandria via LeMat-Bulk.

Cell lengths 7.774, 7.774, 13.399 Å; angles 90.00, 90.00, 90.00 degrees
Space group I4/mcm (No. 140)
Symmetry-distinct sites (fractional):
Dy (0.000, 0.000, 0.000) (multiplicity 4)
Dy (0.158, 0.342, 0.136) (multiplicity 16)
Sn (0.000, 0.000, 0.250) (multiplicity 4)
Rh (0.139, 0.361, 0.500) (multiplicity 8)

## Properties
Energy of formation, eV per atom: -0.7132
Total magnetic moment, μB per atom: 0.00

=====

Copy entry 6 word for word.
The following is a PBE calculation of TbSm2OsN4 after structural relaxation, from Alexandria via LeMat-Bulk.

Cell lengths 3.432, 11.823, 11.990 Å; angles 90.00, 90.00, 90.00 degrees
Space group Cmcm (No. 63)
Symmetry-distinct sites (fractional):
Tb (0.000, 0.129, 0.250) (multiplicity 4)
Sm (0.000, 0.368, 0.041) (multiplicity 8)
Os (0.000, 0.140, 0.750) (multiplicity 4)
N (0.000, 0.000, 0.000) (multiplicity 4)
N (0.000, 0.272, 0.636) (multiplicity 8)
N (0.000, 0.441, 0.250) (multiplicity 4)

## Properties
Total magnetic moment, μB per atom: 0.00
Uncorrected formation energy, meV per atom: -848.0